A plane-wave DFT calculation with GGA-PBE was carried out for crystalline NiMo2Ir at its relaxed geometry.

Cell and atoms, written as CIF:
```
data_NiMo2Ir
_cell_length_a 3.8848
_cell_length_b 3.8848
_cell_length_c 7.6064
_cell_angle_alpha 90.00
_cell_angle_beta 90.00
_cell_angle_gamma 90.00
_symmetry_space_group_name_H-M 'I -4 m 2'
_symmetry_Int_Tables_number 119
_symmetry_space_group_name_Hall 'I -4 -2'
loop_
_atom_site_label
_atom_site_fract_x
_atom_site_fract_y
_atom_site_fract_z
Ni1 0.0000 0.0000 0.0000
Mo1 0.0000 0.0000 0.5000
Mo2 0.0000 0.5000 0.2500
Ir1 0.0000 0.5000 0.7500
```

Calculated values
Energy above the lowest structure with this stoichiometry   139 meV/atom
Density of states at the Fermi level   8.90 states/eV per cell
Energy relative to the elements   -0.033 eV per atom